(1)
## Tb3Y2S6 (PBE-GGA)

Data for a geometry-optimized Tb3Y2S6 structure.

uncorrected formation energy = -22.86 eV/f.u.

abc: 6.803 11.739 6.759
angles: 90.00 109.53 90.00
Space group C2/m (No. 12)
Symmetry-distinct sites (fractional):
Tb 0.000 0.000 0.000 x2
Tb 0.000 0.337 0.000 x4
Y 0.000 0.166 0.500 x4
S 0.249 0.000 0.745 x4
S 0.249 0.167 0.249 x8

---

(2)
## TbY3S3 (PBE-GGA)

Data for a geometry-optimized TbY3S3 structure.

uncorrected formation energy = -11.98 eV/f.u.

abc: 11.008 11.008 5.477
angles: 90.00 90.00 90.00
Space group P4_2/mnm (No. 136)
Symmetry-distinct sites (fractional):
Tb 0.121 0.121 0.000 x4
Y 0.120 0.627 0.000 x8
Y 0.127 0.873 0.500 x4
S 0.126 0.374 0.000 x8
S 0.126 0.874 0.000 x4

---

(3)
## TbY4S2 (PBE-GGA)

Data for a geometry-optimized TbY4S2 structure.

uncorrected formation energy = -7.15 eV/f.u.

abc: 3.729 5.677 18.202
angles: 90.00 90.00 90.00
Space group Immm (No. 71)
Symmetry-distinct sites (fractional):
Tb 0.000 0.000 0.000 x2
Y 0.000 0.500 0.097 x4
Y 0.000 0.500 0.315 x4
S 0.000 0.000 0.295 x4

---

(4)
## Tb3YS6 (PBE-GGA)

Data for a geometry-optimized Tb3YS6 structure.

uncorrected formation energy = -20.66 eV/f.u.

abc: 11.5190 11.5190 13.6957
angles: 90.00 90.00 120.00
Space group R-3 (No. 148, hexagonal axes)
Symmetry-distinct sites (fractional):
Tb 0.0494 0.2700 0.2032 x18
Y 0.0000 0.0000 0.0000 x3
Y 0.0000 0.0000 0.5000 x3
S 0.0208 0.2139 0.3985 x18
S 0.0312 0.1929 0.8740 x18